{
  "formula": "KLa2YTc",
  "functional": "GGA-PBE",
  "state": "relaxed",
  "lattice_angstrom": [[5.5880, 0.0000, 0.0000], [0.0000, 5.5880, 0.0000], [0.0000, 0.0000, 5.7498]],
  "species": ["Y", "La", "La", "Tc", "K"],
  "frac_coords": [[0.0000, 0.0000, 0.5000], [0.0000, 0.5000, 0.0000], [0.5000, 0.0000, 0.0000], [0.0000, 0.0000, 0.0000], [0.5000, 0.5000, 0.5000]],
  "dos_ef_per_ev_fu": 4.41,
  "space_group": "No. 123",
  "e_form_kj_per_mol_atoms": 16
}